# CaVSb2O8, optimized geometry, DFT GGA+U
data_CaVSb2O8
_chemical_formula_sum 'Ca2 V2 Sb4 O16'
_cell_length_a 6.653
_cell_length_b 7.020
_cell_length_c 6.343
_cell_angle_alpha 90.00
_cell_angle_beta 90.00
_cell_angle_gamma 90.00
_space_group_name_H-M_alt 'C m m m'
_space_group_IT_number 65
_space_group_name_Hall '-C 2 2'
loop_
_atom_site_label
_atom_site_fract_x
_atom_site_fract_y
_atom_site_fract_z
Ca1 0.000 0.000 0.000
V1 0.000 0.000 0.500
Sb1 0.000 0.500 0.255
O1 0.000 0.304 0.500
O2 0.000 0.323 0.000
O3 0.203 0.000 0.284
# Magnetization: 2.0 Bohr magnetons per cell
# Final energy: -6.5913 eV/atom